This record from Alexandria describes a geometry-optimized Sc2CoCl structure. The functional is PBE.

Calculated values
As for the crystal system: monoclinic. The total energy comes out at -5.844 eV per atom. As for the density of states at the Fermi level: 3.50 states/eV/cell. For the calculated density, the calculation gives 4.4 g cm⁻³. The space group is C2/m (12). Its total magnetic moment is 0.00 μB/f.u. The calculation puts the formation energy (no corrections) at -1.76 eV/f.u. The energy relative to the lowest polymorph listed for this composition is 0.347 eV/atom.

Geometry as CIF:
```
data_Sc2CoCl
_chemical_formula_sum 'Sc2 Co1 Cl1'
_cell_length_a 4.8273
_cell_length_b 4.8273
_cell_length_c 3.0525
_cell_angle_alpha 80.49
_cell_angle_beta 80.49
_cell_angle_gamma 90.10
_space_group_name_H-M_alt 'P 1'
_space_group_IT_number 1
loop_
_space_group_symop_operation_xyz
'x,y,z'
loop_
_atom_site_label
_atom_site_fract_x
_atom_site_fract_y
_atom_site_fract_z
_atom_site_occupancy
Sc1 0.0000 0.0000 0.0000 1
Sc2 0.5000 0.5000 0.0000 1
Co1 0.0000 0.5000 0.5000 1
Cl1 0.5000 0.0000 0.5000 1
```

=====

This record from Alexandria describes a geometry-optimized TiSbAuF2 structure. The functional is PBE.

Calculated values
As for the crystal system: tetragonal. The total energy comes out at -5.539 eV per atom. As for the density of states at the Fermi level: 2.01 states/eV/cell. For the calculated density, the calculation gives 7.3 g cm⁻³. The space group is P4/mmm (123). Its total magnetic moment is 0.75 μB/f.u. The calculation puts the formation energy (no corrections) at -8.66 eV/f.u.

Geometry as CIF:
```
data_TiSbAuF2
_chemical_formula_sum 'Ti1 Sb1 Au1 F2'
_cell_length_a 3.9555
_cell_length_b 3.9555
_cell_length_c 5.9036
_cell_angle_alpha 90.00
_cell_angle_beta 90.00
_cell_angle_gamma 90.00
_space_group_name_H-M_alt 'P 1'
_space_group_IT_number 1
loop_
_space_group_symop_operation_xyz
'x,y,z'
loop_
_atom_site_label
_atom_site_fract_x
_atom_site_fract_y
_atom_site_fract_z
_atom_site_occupancy
Ti1 0.0000 0.0000 0.0000 1
F1 0.5000 0.0000 0.0000 1
F2 0.0000 0.5000 0.0000 1
Au1 0.5000 0.5000 0.5000 1
Sb1 0.0000 0.0000 0.5000 1
```

=====

This record from Alexandria describes a geometry-optimized SrPrIrPd structure. The functional is PBE.

Calculated values
As for the crystal system: cubic. The total energy comes out at -5.583 eV per atom. As for the density of states at the Fermi level: 1.19 states/eV/cell. For the calculated density, the calculation gives 9.2 g cm⁻³. The space group is F-43m (216). The formation energy comes out at -1.82 eV/f.u. Its total magnetic moment is 0.00 μB/f.u.

Geometry as CIF:
```
data_SrPrIrPd
_chemical_formula_sum 'Sr1 Pr1 Ir1 Pd1'
_cell_length_a 5.1236
_cell_length_b 5.1236
_cell_length_c 5.1236
_cell_angle_alpha 60.00
_cell_angle_beta 60.00
_cell_angle_gamma 60.00
_space_group_name_H-M_alt 'P 1'
_space_group_IT_number 1
loop_
_space_group_symop_operation_xyz
'x,y,z'
loop_
_atom_site_label
_atom_site_fract_x
_atom_site_fract_y
_atom_site_fract_z
_atom_site_occupancy
Ir1 0.0000 0.0000 0.0000 1
Pr1 0.7500 0.7500 0.7500 1
Sr1 0.2500 0.2500 0.2500 1
Pd1 0.5000 0.5000 0.5000 1
```

=====

This record from Alexandria describes a geometry-optimized LaBe2Pd2Au structure. The functional is PBE.

Calculated values
As for the crystal system: tetragonal. The total energy comes out at -4.670 eV per atom. As for the density of states at the Fermi level: 3.09 states/eV/cell. For the calculated density, the calculation gives 8.7 g cm⁻³. The space group is P4/mmm (123). The formation energy comes out at -1.98 eV/f.u. Its total magnetic moment is 0.00 μB/f.u.

Geometry as CIF:
```
data_LaBe2Pd2Au
_chemical_formula_sum 'La1 Be2 Pd2 Au1'
_cell_length_a 4.3483
_cell_length_b 4.3483
_cell_length_c 5.7486
_cell_angle_alpha 90.00
_cell_angle_beta 90.00
_cell_angle_gamma 90.00
_space_group_name_H-M_alt 'P 1'
_space_group_IT_number 1
loop_
_space_group_symop_operation_xyz
'x,y,z'
loop_
_atom_site_label
_atom_site_fract_x
_atom_site_fract_y
_atom_site_fract_z
_atom_site_occupancy
La1 0.0000 0.0000 0.5000 1
Pd1 0.5000 0.5000 0.2432 1
Pd2 0.5000 0.5000 0.7568 1
Be1 0.5000 0.0000 0.0000 1
Be2 0.0000 0.5000 0.0000 1
Au1 0.0000 0.0000 0.0000 1
```

=====

This record from Alexandria describes a geometry-optimized LiNiIrRu structure. The functional is PBE.

Calculated values
As for the crystal system: cubic. The total energy comes out at -6.333 eV per atom. As for the density of states at the Fermi level: 6.20 states/eV/cell. For the calculated density, the calculation gives 11.5 g cm⁻³. The space group is F-43m (216). The formation energy comes out at 0.50 eV/f.u. Its total magnetic moment is 0.16 μB/f.u.

Geometry as CIF:
```
data_LiNiIrRu
_chemical_formula_sum 'Li1 Ni1 Ir1 Ru1'
_cell_length_a 4.1795
_cell_length_b 4.1795
_cell_length_c 4.1795
_cell_angle_alpha 60.00
_cell_angle_beta 60.00
_cell_angle_gamma 60.00
_space_group_name_H-M_alt 'P 1'
_space_group_IT_number 1
loop_
_space_group_symop_operation_xyz
'x,y,z'
loop_
_atom_site_label
_atom_site_fract_x
_atom_site_fract_y
_atom_site_fract_z
_atom_site_occupancy
Ni1 0.0000 0.0000 0.0000 1
Ir1 0.5000 0.5000 0.5000 1
Ru1 0.2500 0.2500 0.2500 1
Li1 0.7500 0.7500 0.7500 1
```

=====

This record from Alexandria describes a geometry-optimized NaTi2Se4 structure. The functional is PBE.

Calculated values
As for the crystal system: monoclinic. The total energy comes out at -5.616 eV per atom. As for the density of states at the Fermi level: 3.68 states/eV/cell. For the calculated density, the calculation gives 4.4 g cm⁻³. The space group is P2/m (10). Its total magnetic moment is 0.01 μB/f.u. The calculation puts the formation energy (no corrections) at -8.27 eV/f.u. The energy relative to the lowest polymorph listed for this composition is 0.000 eV/atom.

Geometry as CIF:
```
data_NaTi2Se4
_chemical_formula_sum 'Na1 Ti2 Se4'
_cell_length_a 3.6242
_cell_length_b 6.2062
_cell_length_c 7.6548
_cell_angle_alpha 106.06
_cell_angle_beta 90.00
_cell_angle_gamma 90.00
_space_group_name_H-M_alt 'P 1'
_space_group_IT_number 1
loop_
_space_group_symop_operation_xyz
'x,y,z'
loop_
_atom_site_label
_atom_site_fract_x
_atom_site_fract_y
_atom_site_fract_z
_atom_site_occupancy
Se1 0.5000 0.2649 0.2902 1
Se2 0.0000 0.7612 0.2917 1
Se3 0.0000 0.2388 0.7083 1
Se4 0.5000 0.7351 0.7098 1
Ti1 0.5000 0.0000 0.5000 1
Ti2 0.0000 0.5000 0.5000 1
Na1 0.0001 0.0000 0.0000 1
```

=====

Among the records above, which one has the highest total energy?
LaBe2Pd2Au